{"formula": "Mg2RuSe", "functional": "PBE", "state": "optimized geometry", "cell": [[-1.0621, 4.2052, 0.3917], [-3.0648, -1.0453, 2.9114], [2.3765, 0.3553, 2.6294]], "species": ["Mg", "Mg", "Ru", "Se"], "frac_coords": [[0.0000, 0.0000, 0.0000], [0.5000, 0.5000, 0.0000], [0.5000, 0.0000, 0.5000], [0.0000, 0.5000, 0.5000]], "spacegroup": "P4/mmm", "e_tot_ev_per_fu": -16.7, "magmom_total_mub_per_cell": 0.00, "n_ef_per_ev_cell": 2.553}